The following is a DFT calculation (PBE) of a relaxed CaTlZn3 crystal.

Summary:
**Relative energy among the computed polymorphs**: 0 meV/atom
**Calculated formation energy**: 0.35 eV per atom

a = 5.2443 Å, b = 5.2443 Å, c = 5.2443 Å
α = 90.00°, β = 90.00°, γ = 90.00°
Fractional coordinates of all 5 atoms:
Zn1 0.0000 0.5000 0.0000
Zn2 0.0000 0.0000 0.5000
Zn3 0.5000 0.0000 0.0000
Tl1 0.0000 0.0000 0.0000
Ca1 0.5000 0.5000 0.5000

---

The following is a DFT calculation (PBE) of a relaxed Cr2NiH3 crystal.

a = 2.6501 Å, b = 2.6502 Å, c = 6.1010 Å
α = 102.61°, β = 102.61°, γ = 89.78°
Last column: magnetic moment on the atom in μB.
Fractional coordinates of all 6 atoms:
Cr1 0.1016 0.1031 0.2080  1.14
Cr2 0.7669 0.7684 0.5399  1.14
H1 0.6021 0.6035 0.2089  -0.01
H2 0.9341 0.9355 0.8740  0.00
H3 0.2665 0.2679 0.5391  -0.01
Ni1 0.4341 0.4358 0.8739  0.25

---

The following is a DFT calculation (PBE) of a relaxed PdRuSeBr2 crystal.

Summary:
**Relative energy among the computed polymorphs**: 0 meV/atom
**Uncorrected formation energy**: 0.519 eV per atom

a = 5.2207 Å, b = 5.2207 Å, c = 4.6039 Å
α = 90.00°, β = 90.00°, γ = 90.00°
Last column: magnetic moment on the atom in μB.
Fractional coordinates of all 5 atoms:
Pd1 0.5000 0.5000 0.5000  0.40
Br1 0.5000 0.0000 0.0000  0.04
Br2 0.0000 0.5000 0.0000  0.04
Ru1 0.0000 0.0000 0.0000  0.11
Se1 0.0000 0.0000 0.5000  0.01

---

The following is a DFT calculation (PBE) of a relaxed FeOsRh2 crystal.

Summary:
**Relative energy among the computed polymorphs**: 50 meV/atom
**Calculated formation energy**: 0.06 eV per atom

a = 8.7766 Å, b = 8.7766 Å, c = 8.7766 Å
α = 17.83°, β = 17.83°, γ = 17.83°
Last column: magnetic moment on the atom in μB.
Fractional coordinates of all 4 atoms:
Rh1 0.5013 0.5013 0.5013  0.18
Rh2 0.9987 0.9987 0.9987  0.18
Fe1 0.2500 0.2500 0.2500  2.82
Os1 0.7500 0.7500 0.7500  -0.06

---

The following is a DFT calculation (PBE) of a relaxed LiGaHg4 crystal.

Summary:
**Calculated formation energy**: -0.09 eV per atom

a = 5.6905 Å, b = 5.6905 Å, c = 8.7046 Å
α = 96.37°, β = 96.37°, γ = 80.33°
Fractional coordinates of all 12 atoms:
Hg1 0.8722 0.2697 0.9456
Hg2 0.2697 0.8722 0.4456
Hg3 0.3038 0.3375 0.7660
Hg4 0.6625 0.6962 0.7340
Hg5 0.7303 0.1278 0.5544
Hg6 0.1278 0.7303 0.0544
Hg7 0.6962 0.6625 0.2340
Hg8 0.3375 0.3038 0.2660
Ga1 0.0000 0.5000 0.5000
Ga2 0.5000 0.0000 0.0000
Li1 0.1363 0.8637 0.7500
Li2 0.8637 0.1363 0.2500

---

The following is a DFT calculation (PBE) of a relaxed NaLa2Mo crystal.

Summary:
**Relative energy among the computed polymorphs**: 155 meV/atom
**Calculated formation energy**: 0.63 eV per atom

a = 8.4106 Å, b = 8.4106 Å, c = 7.0314 Å
α = 53.27°, β = 53.27°, γ = 90.00°
Fractional coordinates of all 8 atoms:
Mo1 0.0000 0.0000 0.0000
Mo2 0.7500 0.2500 0.5000
La1 0.7267 0.1250 0.2500
La2 0.8750 0.9767 0.7500
La3 0.0233 0.6250 0.2500
La4 0.3750 0.2733 0.7500
Na1 0.5000 0.5000 0.0000
Na2 0.2500 0.7500 0.5000

---

The following is a DFT calculation (PBE) of a relaxed Nd2Zn5Ag3 crystal.

Summary:
**Calculated formation energy**: -0.23 eV per atom

a = 6.0401 Å, b = 8.7791 Å, c = 8.7791 Å
α = 80.82°, β = 69.88°, γ = 69.88°
Fractional coordinates of all 20 atoms:
Ag1 0.6292 0.5051 0.2364
Ag2 0.1292 0.2364 0.5051
Ag3 0.7500 0.0000 0.0000
Ag4 0.2500 0.0000 0.0000
Ag5 0.8708 0.7636 0.4949
Ag6 0.3708 0.4949 0.7636
Nd1 0.8763 0.3770 0.8704
Nd2 0.1237 0.6230 0.1296
Nd3 0.6237 0.1296 0.6230
Nd4 0.3763 0.8704 0.3770
Zn1 0.1277 0.0119 0.7327
Zn2 0.9894 0.7606 0.7606
Zn3 0.4894 0.7606 0.7606
Zn4 0.0106 0.2394 0.2394
Zn5 0.3723 0.2673 0.9881
Zn6 0.5106 0.2394 0.2394
Zn7 0.6277 0.7327 0.0119
Zn8 0.8723 0.9881 0.2673
Zn9 0.2500 0.5000 0.5000
Zn10 0.7500 0.5000 0.5000

---

The following is a DFT calculation (PBE) of a relaxed Li2Pm2AlO6 crystal.

Summary:
**Uncorrected formation energy**: -2.437 eV per atom

a = 5.5362 Å, b = 5.5362 Å, c = 5.7266 Å
α = 61.09°, β = 61.09°, γ = 60.00°
Last column: magnetic moment on the atom in μB.
Fractional coordinates of all 11 atoms:
O1 0.2180 0.7635 0.2549  0.14
O2 0.7820 0.2365 0.7451  0.14
O3 0.7635 0.2180 0.2549  0.14
O4 0.7635 0.7635 0.2549  0.14
O5 0.2365 0.7820 0.7451  0.14
O6 0.2365 0.2365 0.7451  0.14
Pm1 0.7823 0.7823 0.6532  -0.02
Pm2 0.2177 0.2177 0.3468  -0.02
Al1 0.0000 0.0000 0.0000  0.00
Li1 0.4290 0.4290 0.7130  0.00
Li2 0.5710 0.5710 0.2870  0.00

---

The following is a DFT calculation (PBE) of a relaxed ScIrAu4 crystal.

Summary:
**Calculated formation energy**: -0.01 eV per atom

a = 5.4040 Å, b = 5.4040 Å, c = 5.4040 Å
α = 60.00°, β = 60.00°, γ = 60.00°
Fractional coordinates of all 6 atoms:
Ir1 0.7500 0.7500 0.7500
Au1 0.8744 0.3752 0.3752
Au2 0.3752 0.3752 0.8744
Au3 0.3752 0.8744 0.3752
Au4 0.3752 0.3752 0.3752
Sc1 0.0000 0.0000 0.0000

---

The following is a DFT calculation (PBE) of a relaxed Li3PmPb3 crystal.

Summary:
**Calculated formation energy**: 0.17 eV per atom

a = 7.2641 Å, b = 7.2641 Å, c = 7.2641 Å
α = 90.00°, β = 90.00°, γ = 90.00°
Fractional coordinates of all 14 atoms:
Li1 0.7500 0.5000 0.0000
Li2 0.0000 0.7500 0.5000
Li3 0.5000 0.0000 0.7500
Li4 0.5000 0.0000 0.2500
Li5 0.2500 0.5000 0.0000
Li6 0.0000 0.2500 0.5000
Pb1 0.5000 0.7500 0.0000
Pb2 0.2500 0.0000 0.5000
Pb3 0.0000 0.5000 0.2500
Pb4 0.0000 0.5000 0.7500
Pb5 0.7500 0.0000 0.5000
Pb6 0.5000 0.2500 0.0000
Pm1 0.5000 0.5000 0.5000
Pm2 0.0000 0.0000 0.0000

---

The following is a DFT calculation (PBE) of a relaxed CaYAs2Ir crystal.

Summary:
**Calculated formation energy**: 0.28 eV per atom

a = 5.3443 Å, b = 5.1429 Å, c = 5.3443 Å
α = 90.00°, β = 90.00°, γ = 90.00°
Fractional coordinates of all 5 atoms:
Ca1 0.5000 0.5000 0.5000
Y1 0.0000 0.0000 0.0000
As1 0.0000 0.0000 0.5000
As2 0.5000 0.0000 0.0000
Ir1 0.0000 0.5000 0.0000

---

The following is a DFT calculation (PBE) of a relaxed YGa2Fe2 crystal.

Summary:
**Calculated formation energy**: -0.32 eV per atom

a = 3.8309 Å, b = 3.8309 Å, c = 6.2779 Å
α = 72.24°, β = 72.24°, γ = 90.00°
Last column: magnetic moment on the atom in μB.
Fractional coordinates of all 5 atoms:
Ga1 0.6147 0.6147 0.7706  -0.10
Ga2 0.3853 0.3853 0.2294  -0.10
Fe1 0.2500 0.7500 0.5000  2.09
Fe2 0.7500 0.2500 0.5000  2.09
Y1 0.0000 0.0000 0.0000  -0.10

---

| no. | VASP energy (eV/atom) |
| --- | --- |
| 1 | -1.289 |
| 2 | -5.812 |
| 3 | -3.741 |
| 4 | -8.535 |
| 5 | -1.115 |
| 6 | -4.872 |
| 7 | -2.677 |
| 8 | -6.693 |
| 9 | -4.725 |
| 10 | -2.921 |
| 11 | -5.041 |
| 12 | -6.204 |